(1)
VASP calculation (PBE) on BeFeAgGe after structural relaxation.

POSCAR file:
```
BeFeAgGe
1.0
0.0000 3.0049 3.0049
3.0049 0.0000 3.0049
3.0049 3.0049 0.0000
Be Ge Ag Fe
1 1 1 1
Cartesian
1.5024 1.5024 1.5024 Be
0.0000 0.0000 0.0000 Ge
3.0049 3.0049 3.0049 Ag
4.5073 4.5073 4.5073 Fe
```

Values from the calculation:
* energy above the most stable polymorph in this dataset: 66 meV per atom

***

(2)
VASP calculation (PBE) on BeInFeAg after structural relaxation.

POSCAR file:
```
BeInFeAg
1.0
0.0000 3.1168 3.1168
3.1168 0.0000 3.1168
3.1168 3.1168 0.0000
In Ag Fe Be
1 1 1 1
Cartesian
0.0000 0.0000 0.0000 In
1.5584 1.5584 1.5584 Ag
4.6752 4.6752 4.6752 Fe
3.1168 3.1168 3.1168 Be
```

Values from the calculation:
* energy above the most stable polymorph in this dataset: 0 meV per atom

***

(3)
VASP calculation (PBE) on BeFeReAg after structural relaxation.

POSCAR file:
```
BeFeReAg
1.0
3.4006 -2.0309 -1.1899
-0.2289 -4.0052 -1.0056
0.4364 -1.1704 -3.9427
Ag Be Fe Re
1 1 1 1
Cartesian
0.0000 0.0000 0.0000 Ag
2.7061 -5.4048 -4.6036 Be
0.9020 -1.8016 -1.5345 Fe
1.8041 -3.6032 -3.0691 Re
```

Values from the calculation:
* energy above the most stable polymorph in this dataset: 0 meV per atom

***

(4)
VASP calculation (PBE) on BeZnFeAg after structural relaxation.

POSCAR file:
```
BeZnFeAg
1.0
0.0000 2.9551 2.9551
2.9551 0.0000 2.9551
2.9551 2.9551 0.0000
Fe Be Zn Ag
1 1 1 1
Cartesian
4.4326 4.4326 4.4326 Fe
2.9551 2.9551 2.9551 Be
0.0000 0.0000 0.0000 Zn
1.4775 1.4775 1.4775 Ag
```

Values from the calculation:
* energy above the most stable polymorph in this dataset: 0 meV per atom

***

(5)
VASP calculation (PBE) on BeZnFeAg after structural relaxation.

POSCAR file:
```
BeZnFeAg
1.0
3.6480 -1.0168 1.8479
0.1710 -3.2471 2.6803
2.0058 -3.5382 -1.1020
Fe Ag Zn Be
1 1 1 1
Cartesian
4.3686 -5.8516 2.5697 Fe
2.9124 -3.9011 1.7131 Ag
0.0000 0.0000 0.0000 Zn
1.4562 -1.9505 0.8565 Be
```

Values from the calculation:
* energy above the most stable polymorph in this dataset: 74 meV per atom

***

(6)
VASP calculation (PBE) on BeGaAg after structural relaxation.

POSCAR file:
```
BeGaAg
1.0
0.0000 2.9323 2.9323
2.9323 0.0000 2.9323
2.9323 2.9323 0.0000
Ag Ga Be
1 1 1
Cartesian
1.4662 1.4662 1.4662 Ag
0.0000 0.0000 0.0000 Ga
4.3985 4.3985 4.3985 Be
```

Values from the calculation:
* energy above the most stable polymorph in this dataset: 51 meV per atom

***

(7)
VASP calculation (PBE) on BeGaAg after structural relaxation.

POSCAR file:
```
BeGaAg
1.0
1.3842 -3.7015 1.2506
-1.5013 -1.7120 3.4635
-2.4681 -3.3220 -0.2316
Ga Ag Be
1 1 1
Cartesian
-1.9389 -6.5516 3.3618 Ga
0.0000 0.0000 0.0000 Ag
-0.6463 -2.1839 1.1206 Be
```

Values from the calculation:
* energy above the most stable polymorph in this dataset: 0 meV per atom

***

(8)
VASP calculation (PBE) on BeGaAg2 after structural relaxation.

POSCAR file:
```
BeGaAg2
1.0
0.0000 3.1486 3.1486
3.1486 0.0000 3.1486
3.1486 3.1486 0.0000
Ga Ag Be
1 2 1
Cartesian
3.1486 3.1486 3.1486 Ga
4.7229 4.7229 4.7229 Ag
0.0000 0.0000 0.0000 Ag
1.5743 1.5743 1.5743 Be
```

***

no.,VASP energy (Ry/atom)
1,-0.3322
2,-0.2965
3,-0.4725
4,-0.2802
5,-0.2748
6,-0.2067
7,-0.2104
8,-0.2106